No. 1
VASP calculation (PBE) on Dy2Hg5Au after structural relaxation.

Summary:
SG = No. 166
Magnetic moment = 0.00 μB per atom
VASP energy = -16.02 eV per formula unit
Energy of formation from the pure elements = -253 meV per atom

Cell lengths 10.9391, 10.9391, 10.9391 Å; angles 25.13, 25.13, 25.13 degrees
With the nearest neighbours (Å) after each atom.
Positions (direct):
Dy (0.0929, 0.0929, 0.0929)  1 Au 2.95, 6 Hg 3.00-3.25
Dy (0.9071, 0.9071, 0.9071)  1 Au 2.95, 6 Hg 3.00-3.25
Hg (0.2022, 0.2022, 0.2022)  3 Hg 2.97, 3 Dy 3.00
Hg (0.3719, 0.3719, 0.3719)  3 Au 3.01, 3 Dy 3.25
Hg (0.5000, 0.5000, 0.5000)  6 Hg 2.97
Hg (0.6281, 0.6281, 0.6281)  3 Au 3.01, 3 Dy 3.25
Hg (0.7978, 0.7978, 0.7978)  3 Hg 2.97, 3 Dy 3.00
Au (0.0000, 0.0000, 0.0000)  2 Dy 2.95, 6 Hg 3.01

No. 2
VASP calculation (PBE) on Nd8Si3I4Cl after structural relaxation.

Summary:
SG = No. 166
Magnetic moment = 0.00 μB per atom
VASP energy = -78.64 eV per formula unit
Raw formation energy = -1.011 eV/atom

Cell lengths 9.1464, 9.1464, 9.1464 Å; angles 56.14, 56.14, 56.14 degrees
With the nearest neighbours (Å) after each atom.
Positions (direct):
Nd (0.2195, 0.7378, 0.7378)  2 Si 2.86, 1 Cl 2.98
Nd (0.2324, 0.2324, 0.2324)  3 Si 2.91
Nd (0.2622, 0.2622, 0.7805)  2 Si 2.86, 1 Cl 2.98
Nd (0.2622, 0.7805, 0.2622)  2 Si 2.86, 1 Cl 2.98
Nd (0.7378, 0.2195, 0.7378)  2 Si 2.86, 1 Cl 2.98
Nd (0.7378, 0.7378, 0.2195)  2 Si 2.86, 1 Cl 2.98
Nd (0.7676, 0.7676, 0.7676)  3 Si 2.91
Nd (0.7805, 0.2622, 0.2622)  2 Si 2.86, 1 Cl 2.98
Si (0.0000, 0.0000, 0.5000)  6 Nd 2.86-2.91
Si (0.0000, 0.5000, 0.0000)  6 Nd 2.86-2.91
Si (0.5000, 0.0000, 0.0000)  6 Nd 2.86-2.91
I (0.0000, 0.0000, 0.0000)  6 Nd 3.35
I (0.0000, 0.5000, 0.5000)  6 Nd 3.40-3.45
I (0.5000, 0.0000, 0.5000)  6 Nd 3.40-3.45
I (0.5000, 0.5000, 0.0000)  6 Nd 3.40-3.45
Cl (0.5000, 0.5000, 0.5000)  6 Nd 2.98

No. 3
VASP calculation (PBE) on MoPb after structural relaxation.

Summary:
SG = No. 221
Magnetic moment = 0.18 μB per atom
VASP energy = -12.78 eV per formula unit
Energy of formation from the pure elements = 882 meV per atom

Cell lengths 3.4128, 3.4128, 3.4128 Å; angles 90.00, 90.00, 90.00 degrees
With the nearest neighbours (Å) after each atom.
Positions (direct):
Mo (0.0000, 0.0000, 0.0000)  8 Pb 2.96
Pb (0.5000, 0.5000, 0.5000)  8 Mo 2.96

No. 4
VASP calculation (PBE) on CaEr2Ir after structural relaxation.

Summary:
SG = No. 123
Magnetic moment = 0.00 μB per atom
VASP energy = -21.77 eV per formula unit
Energy of formation from the pure elements = -445 meV per atom

Cell lengths 3.4721, 3.4721, 9.3805 Å; angles 90.00, 90.00, 90.00 degrees
With the nearest neighbours (Å) after each atom.
Positions (direct):
Ca (0.0000, 0.0000, 0.0000)  4 Ca 3.47
Er (0.5000, 0.5000, 0.3297)  4 Ir 2.93, 1 Er 3.19
Er (0.5000, 0.5000, 0.6703)  4 Ir 2.93, 1 Er 3.19
Ir (0.0000, 0.0000, 0.5000)  8 Er 2.93

No. 5
VASP calculation (PBE) on RbAc2Ir after structural relaxation.

Summary:
SG = No. 12
Magnetic moment = 0.00 μB per atom
VASP energy = -19.69 eV per formula unit
Energy of formation from the pure elements = -410 meV per atom

Cell lengths 4.4592, 4.4592, 11.0985 Å; angles 90.21, 90.21, 59.96 degrees
With the nearest neighbours (Å) after each atom.
Positions (direct):
Rb (0.0000, 0.0000, 0.0000)  6 Rb 4.46, 6 Ac 4.77-4.78
Ac (0.3326, 0.3326, 0.3627)  3 Ir 2.99
Ac (0.6674, 0.6674, 0.6373)  3 Ir 2.99
Ir (0.0000, 0.0000, 0.5000)  6 Ac 2.99

No. 6
VASP calculation (PBE) on LaTa2Mn after structural relaxation.

Summary:
SG = No. 35
Magnetic moment = 0.00 μB per atom
VASP energy = -36.20 eV per formula unit
Energy of formation from the pure elements = 401 meV per atom

Cell lengths 2.9617, 2.9617, 9.4939 Å; angles 90.00, 90.00, 113.12 degrees
With the nearest neighbours (Å) after each atom.
Positions (direct):
La (0.0000, 0.0000, 0.0000)  2 Mn 2.85, 4 La 2.96
Ta (0.0000, 0.0000, 0.4424)  2 Mn 2.47
Ta (0.5000, 0.5000, 0.6847)  6 Ta 2.82-2.96
Mn (0.5000, 0.5000, 0.2466)  2 Ta 2.47

No. 7
VASP calculation (PBE) on Er2Al4GaPt3 after structural relaxation.

Summary:
SG = No. 115
Magnetic moment = 0.00 μB per atom
VASP energy = -54.98 eV per formula unit
Energy of formation from the pure elements = -973 meV per atom

Cell lengths 4.1515, 4.1515, 10.7368 Å; angles 90.00, 90.00, 90.00 degrees
With the nearest neighbours (Å) after each atom.
Positions (direct):
Er (0.0000, 0.5000, 0.2471)  6 Pt 3.17-3.42, 8 Al 3.18-3.37, 2 Ga 3.42
Er (0.5000, 0.0000, 0.7529)  6 Pt 3.17-3.42, 8 Al 3.18-3.37, 2 Ga 3.42
Al (0.0000, 0.0000, 0.0000)  4 Pt 2.53
Al (0.0000, 0.5000, 0.6388)  3 Pt 2.43-2.56, 2 Ga 2.56
Al (0.5000, 0.0000, 0.3612)  3 Pt 2.43-2.56, 2 Ga 2.56
Al (0.5000, 0.5000, 0.0000)  4 Pt 2.53
Ga (0.0000, 0.0000, 0.5000)  4 Al 2.56
Pt (0.0000, 0.5000, 0.8653)  5 Al 2.43-2.53
Pt (0.5000, 0.0000, 0.1347)  5 Al 2.43-2.53
Pt (0.5000, 0.5000, 0.5000)  4 Al 2.56

No. 8
VASP calculation (PBE) on Mg4AgPb2 after structural relaxation.

Summary:
SG = No. 11
Magnetic moment = 0.00 μB per atom
VASP energy = -16.73 eV per formula unit
Energy of formation from the pure elements = -12 meV per atom

Cell lengths 7.1711, 6.1208, 8.3839 Å; angles 90.00, 111.34, 90.00 degrees
With the nearest neighbours (Å) after each atom.
Positions (direct):
Mg (0.0870, 0.2500, 0.0402)  1 Ag 2.89, 2 Mg 3.21
Mg (0.1448, 0.9996, 0.7251)  1 Ag 2.84, 3 Mg 3.06-3.12, 2 Pb 3.08-3.15
Mg (0.1448, 0.5004, 0.7251)  1 Ag 2.84, 3 Mg 3.06-3.12, 2 Pb 3.08-3.15
Mg (0.2615, 0.7500, 0.3906)  1 Ag 2.88, 4 Pb 3.11-3.19, 2 Mg 3.12
Mg (0.7385, 0.2500, 0.6094)  1 Ag 2.88, 4 Pb 3.11-3.19, 2 Mg 3.12
Mg (0.8552, 0.0004, 0.2749)  1 Ag 2.84, 3 Mg 3.06-3.12, 2 Pb 3.08-3.15
Mg (0.8552, 0.4996, 0.2749)  1 Ag 2.84, 3 Mg 3.06-3.12, 2 Pb 3.08-3.15
Mg (0.9130, 0.7500, 0.9598)  1 Ag 2.89, 2 Mg 3.21
Ag (0.4899, 0.7500, 0.7535)  4 Mg 2.84-2.89, 2 Pb 2.92-3.00
Ag (0.5101, 0.2500, 0.2465)  4 Mg 2.84-2.89, 2 Pb 2.92-3.00
Pb (0.2613, 0.2500, 0.4560)  1 Ag 2.92, 8 Mg 3.08-3.25
Pb (0.4033, 0.7500, 0.0771)  3 Ag 3.00-3.34, 4 Mg 3.14-3.29
Pb (0.5967, 0.2500, 0.9229)  3 Ag 3.00-3.34, 4 Mg 3.14-3.29
Pb (0.7387, 0.7500, 0.5440)  1 Ag 2.92, 8 Mg 3.08-3.25

No. 9
VASP calculation (PBE) on AlTe2Rh after structural relaxation.

Summary:
SG = No. 122
Magnetic moment = 0.00 μB per atom
VASP energy = -18.00 eV per formula unit
Raw formation energy = -0.157 eV/atom

Cell lengths 7.4325, 7.4325, 7.4325 Å; angles 131.49, 131.49, 71.04 degrees
With the nearest neighbours (Å) after each atom.
Positions (direct):
Al (0.0000, 0.0000, 0.0000)  4 Te 2.69
Al (0.7500, 0.2500, 0.5000)  4 Te 2.69
Te (0.1411, 0.6250, 0.0161)  2 Rh 2.58, 2 Al 2.69
Te (0.3750, 0.3911, 0.5161)  2 Rh 2.58, 2 Al 2.69
Te (0.6089, 0.1250, 0.9839)  2 Rh 2.58, 2 Al 2.69
Te (0.8750, 0.8589, 0.4839)  2 Rh 2.58, 2 Al 2.69
Rh (0.2500, 0.7500, 0.5000)  4 Te 2.58
Rh (0.5000, 0.5000, 0.0000)  4 Te 2.58

No. 10
VASP calculation (PBE) on AlGe2SeF after structural relaxation.

Summary:
SG = No. 123
Magnetic moment = 0.00 μB per atom
VASP energy = -18.61 eV per formula unit
Raw formation energy = -0.055 eV/atom

Cell lengths 5.1206, 5.1206, 3.8456 Å; angles 90.00, 90.00, 90.00 degrees
With the nearest neighbours (Å) after each atom.
Positions (direct):
Al (0.0000, 0.0000, 0.0000)  2 F 1.92
Ge (0.0000, 0.5000, 0.5000)  2 F 2.56
Ge (0.5000, 0.0000, 0.5000)  2 F 2.56
Se (0.5000, 0.5000, 0.0000)  8 Ge 3.20
F (0.0000, 0.0000, 0.5000)  2 Al 1.92